First-principles (PBE with a Hubbard U) data for an optimized crystal structure of Ba4MnPb3O12, as listed in Alexandria.

Space-group type   Im-3m (229)
Calculated volume   15.452 Å³ per atom
DFT total energy   -6.002 eV/atom
Total magnetic moment   0.151 μB/atom
D(E_F)   7.46 states/eV/f.u.

```
Ba4MnPb3O12
1.0
7.3770 0.0000 0.0000
-2.4590 6.9551 0.0000
-2.4590 -3.4776 6.0233
Ba O Pb Mn
4 12 3 1
direct
0.5000 0.0000 0.0000
0.0000 0.0000 0.5000
0.0000 0.5000 0.0000
0.5000 0.5000 0.5000
0.2356 0.0000 0.2356
0.5000 0.7500 0.2500
0.7644 0.0000 0.7644
0.7500 0.5000 0.2500
0.5000 0.2500 0.7500
0.7500 0.2500 0.5000
0.2500 0.7500 0.5000
0.7644 0.7644 0.0000
0.0000 0.2356 0.2356
0.2500 0.5000 0.7500
0.0000 0.7644 0.7644
0.2356 0.2356 0.0000
0.5000 0.5000 0.0000
0.0000 0.5000 0.5000
0.5000 0.0000 0.5000
0.0000 0.0000 0.0000
```